Compound: RbAuSCl2
Source: Alexandria
Functional: PBE-GGA
Structure: optimized geometry Values from VASP.

## Properties
Uncorrected energy   -0.1098 Ha/atom
SG   P4/mmm (123)
Formation energy from raw total energies   -574.8 meV/atom

Geometry as Quantum ESPRESSO input:
```
&SYSTEM
  ibrav = 0, nat = 5, ntyp = 4
/
ATOMIC_SPECIES
Rb 85.47 Rb.upf
Au 196.97 Au.upf
S 32.06 S.upf
Cl 35.45 Cl.upf
ATOMIC_POSITIONS angstrom
Rb 0.0000 0.0000 0.0000
Au 2.6802 2.6802 2.3843
S 2.6802 2.6802 0.0000
Cl 0.0000 2.6802 2.3843
Cl 2.6802 0.0000 2.3843
CELL_PARAMETERS angstrom
5.3605 0.0000 0.0000
0.0000 5.3605 0.0000
0.0000 0.0000 4.7687
```